## GdZnNi (PBE-GGA)

Data for a relaxed structure of GdZnNi.

Computed properties:
Energy = -4.236 eV per atom
Formation energy = -0.407 eV per atom
V = 18.9 Å³ per atom

a = 4.2598 Å, b = 4.2598 Å, c = 7.2222 Å
α = 90.00°, β = 90.00°, γ = 120.00°
Space group P6_3/mmc (No. 194)
Symmetry-distinct sites (fractional):
Gd  0.0000  0.0000  0.0000
Zn  0.3333  0.6667  0.2500
Ni  0.3333  0.6667  0.7500

---

## Gd4Zn3Ni2 (PBE-GGA)

Data for a relaxed structure of Gd4Zn3Ni2.

Computed properties:
Energy = -4.114 eV per atom
Formation energy = -0.386 eV per atom
V = 21.1 Å³ per atom

a = 7.1169 Å, b = 3.5963 Å, c = 7.7166 Å
α = 90.00°, β = 105.47°, γ = 90.00°
Space group P2/m (No. 10)
Symmetry-distinct sites (fractional):
Gd  0.0765  0.0000  0.2165
Gd  0.3906  0.0000  0.7013
Zn  0.0000  0.5000  0.5000
Zn  0.3074  0.5000  0.0182
Ni  0.3399  0.5000  0.3919

---

## GdZnNi4 (PBE-GGA)

Data for a relaxed structure of GdZnNi4.

Computed properties:
Energy = -5.078 eV per atom
Formation energy = -0.379 eV per atom
V = 13.9 Å³ per atom

a = 6.9298 Å, b = 6.9298 Å, c = 6.9298 Å
α = 90.00°, β = 90.00°, γ = 90.00°
Space group F-43m (No. 216)
Symmetry-distinct sites (fractional):
Gd  0.0000  0.0000  0.0000
Zn  0.2500  0.2500  0.2500
Ni  0.1237  0.1237  0.6237

---

## GdNp (PBE-GGA)

Data for a relaxed structure of GdNp.

Computed properties:
E above lowest polymorph = 1807 meV/atom
Energy = -6.429 eV per atom
Formation energy = 2.283 eV per atom
V = 28.0 Å³ per atom

a = 6.0721 Å, b = 6.0721 Å, c = 6.0721 Å
α = 90.00°, β = 90.00°, γ = 90.00°
Space group F-43m (No. 216)
Symmetry-distinct sites (fractional):
Gd  0.0000  0.0000  0.0000
Np  0.2500  0.2500  0.7500

---

## GdNp (PBE-GGA)

Data for a relaxed structure of GdNp.

Computed properties:
E above lowest polymorph = 763 meV/atom
Energy = -7.473 eV per atom
Formation energy = 1.239 eV per atom
V = 31.1 Å³ per atom

a = 6.2919 Å, b = 6.2919 Å, c = 6.2919 Å
α = 90.00°, β = 90.00°, γ = 90.00°
Space group Fm-3m (No. 225)
Symmetry-distinct sites (fractional):
Gd  0.0000  0.0000  0.0000
Np  0.0000  0.0000  0.5000

---

## GdNp (PBE-GGA)

Data for a relaxed structure of GdNp.

Computed properties:
E above lowest polymorph = 0 meV/atom
Energy = -8.236 eV per atom
Formation energy = 0.476 eV per atom
V = 27.8 Å³ per atom

a = 3.3411 Å, b = 3.3411 Å, c = 5.7425 Å
α = 90.00°, β = 90.00°, γ = 120.00°
Space group P-6m2 (No. 187)
Symmetry-distinct sites (fractional):
Gd  0.0000  0.0000  0.0000
Np  0.6667  0.3333  0.5000

---

## PrGdNp (PBE-GGA)

Data for a relaxed structure of PrGdNp.

Computed properties:
Energy = -6.252 eV per atom
Formation energy = 1.147 eV per atom
V = 31.8 Å³ per atom

a = 7.2541 Å, b = 7.2541 Å, c = 7.2541 Å
α = 90.00°, β = 90.00°, γ = 90.00°
Space group F-43m (No. 216)
Symmetry-distinct sites (fractional):
Pr  0.0000  0.0000  0.0000
Gd  0.2500  0.2500  0.7500
Np  0.2500  0.2500  0.2500

---

## GdNpPt (PBE-GGA)

Data for a relaxed structure of GdNpPt.

Computed properties:
Energy = -8.147 eV per atom
Formation energy = -0.320 eV per atom
V = 27.0 Å³ per atom

a = 6.8656 Å, b = 6.8656 Å, c = 6.8656 Å
α = 90.00°, β = 90.00°, γ = 90.00°
Space group F-43m (No. 216)
Symmetry-distinct sites (fractional):
Gd  0.0000  0.0000  0.0000
Np  0.0000  0.0000  0.5000
Pt  0.2500  0.2500  0.2500

---

## GdPuNp (PBE-GGA)

Data for a relaxed structure of GdPuNp.

Computed properties:
Energy = -9.625 eV per atom
Formation energy = 0.892 eV per atom
V = 29.7 Å³ per atom

a = 7.0900 Å, b = 7.0900 Å, c = 7.0900 Å
α = 90.00°, β = 90.00°, γ = 90.00°
Space group F-43m (No. 216)
Symmetry-distinct sites (fractional):
Gd  0.0000  0.0000  0.0000
Pu  0.2500  0.2500  0.2500
Np  0.0000  0.0000  0.5000

---

## RbGdNp (PBE-GGA)

Data for a relaxed structure of RbGdNp.

Computed properties:
Energy = -4.382 eV per atom
V = 47.1 Å³ per atom

a = 8.2702 Å, b = 8.2702 Å, c = 8.2702 Å
α = 90.00°, β = 90.00°, γ = 90.00°
Space group F-43m (No. 216)
Symmetry-distinct sites (fractional):
Rb  0.0000  0.0000  0.0000
Gd  0.0000  0.0000  0.5000
Np  0.2500  0.2500  0.7500

---

## GdNpRe (PBE-GGA)

Data for a relaxed structure of GdNpRe.

Computed properties:
E above lowest polymorph = 0 meV/atom
Energy = -9.412 eV per atom
Formation energy = 0.536 eV per atom
V = 25.3 Å³ per atom

a = 6.7238 Å, b = 6.7238 Å, c = 6.7238 Å
α = 90.00°, β = 90.00°, γ = 90.00°
Space group F-43m (No. 216)
Symmetry-distinct sites (fractional):
Gd  0.0000  0.0000  0.0000
Np  0.0000  0.0000  0.5000
Re  0.2500  0.2500  0.7500

---

## GdNpSc (PBE-GGA)

Data for a relaxed structure of GdNpSc.

Computed properties:
Energy = -6.837 eV per atom
Formation energy = 1.081 eV per atom
V = 32.2 Å³ per atom

a = 7.2821 Å, b = 7.2821 Å, c = 7.2821 Å
α = 90.00°, β = 90.00°, γ = 90.00°
Space group F-43m (No. 216)
Symmetry-distinct sites (fractional):
Gd  0.0000  0.0000  0.0000
Np  0.0000  0.0000  0.5000
Sc  0.2500  0.2500  0.2500

---

Result set for magnetic moment: 0.00, 0.00, 0.00, 1.92, 2.85, 2.17, 1.79, 1.72, 3.43, 2.50, 1.12, 1.86 μB per atom, one per record in the order listed.